First-principles (PBE-GGA) data for a geometry-optimized ScGaTe2I structure, as listed in Alexandria via LeMat-Bulk.

```
ScGaTe2I
1.0
5.558 0.000 0.000
0.000 5.558 0.000
0.000 0.000 5.893
Sc Ga Te I
1 1 2 1
direct
0.000 0.000 0.000
0.500 0.500 0.500
0.000 0.500 0.000
0.500 0.000 0.000
0.000 0.000 0.500
```

Output
Formation energy (no corrections): -445 meV/atom
Energy above the lowest structure with this stoichiometry: 0 meV per atom